# Ho5Tm2Sc2 (GGA-PBE, relaxed)
# magnetization = 0.0 μB/cell
# formation energy = 0.2154 eV per atom
# offset from the most stable computed form = 16.9 kJ/mol of atoms
data_Ho5Tm2Sc2
_symmetry_space_group_name_H-M 'I m a 2'
_symmetry_Int_Tables_number 46
_cell_length_a 19.209
_cell_length_b 8.222
_cell_length_c 6.868
_cell_angle_alpha 90.00
_cell_angle_beta 90.00
_cell_angle_gamma 90.00
loop_
_symmetry_equiv_pos_as_xyz
'x,y,z'
'-x,-y,z'
'-x+1/2,y,z'
'x+1/2,-y,z'
'x+1/2,y+1/2,z+1/2'
'-x+1/2,-y+1/2,z+1/2'
'-x,y+1/2,z+1/2'
'x,-y+1/2,z+1/2'
loop_
_atom_site_label
_atom_site_type_symbol
_atom_site_fract_x
_atom_site_fract_y
_atom_site_fract_z
Ho1 Ho 0.110 0.229 0.000
Ho2 Ho 0.165 0.749 0.998
Ho3 Ho 0.250 0.047 0.748
Tm1 Tm 0.000 0.000 0.281
Tm2 Tm 0.250 0.055 0.251
Sc1 Sc 0.042 0.632 0.251

# Ho5Tm6Sc (GGA-PBE, relaxed)
# magnetization = 0.0 μB/cell
# formation energy = 0.0312 eV per atom
data_Ho5Tm6Sc
_symmetry_space_group_name_H-M 'I m m m'
_symmetry_Int_Tables_number 71
_symmetry_space_group_name_Hall '-I 2 2'
_cell_length_a 4.917
_cell_length_b 9.854
_cell_length_c 14.808
_cell_angle_alpha 90.00
_cell_angle_beta 90.00
_cell_angle_gamma 90.00
loop_
_atom_site_label
_atom_site_type_symbol
_atom_site_fract_x
_atom_site_fract_y
_atom_site_fract_z
Ho1 Ho 0.000 0.000 0.000
Ho2 Ho 0.000 0.000 0.335
Ho3 Ho 0.000 0.500 0.334
Tm1 Tm 0.000 0.246 0.500
Tm2 Tm 0.000 0.252 0.166
Sc1 Sc 0.000 0.500 0.000

# Ho4Tm4Sc (GGA-PBE, relaxed)
# magnetization = 0.0 μB/cell
# formation energy = 0.0335 eV per atom
# offset from the most stable computed form = 0.0 kJ/mol of atoms
data_Ho4Tm4Sc
_symmetry_space_group_name_H-M 'I 4/m m m'
_symmetry_Int_Tables_number 139
_symmetry_space_group_name_Hall '-I 4 2'
_cell_length_a 10.444
_cell_length_b 10.444
_cell_length_c 4.912
_cell_angle_alpha 90.00
_cell_angle_beta 90.00
_cell_angle_gamma 90.00
loop_
_atom_site_label
_atom_site_type_symbol
_atom_site_fract_x
_atom_site_fract_y
_atom_site_fract_z
Ho1 Ho 0.165 0.165 0.000
Tm1 Tm 0.000 0.332 0.500
Sc1 Sc 0.000 0.000 0.500

# Ho4Tm2Sc3 (GGA-PBE, relaxed)
# magnetization = 0.0 μB/cell
# formation energy = 0.0919 eV per atom
# offset from the most stable computed form = 0.0 kJ/mol of atoms
data_Ho4Tm2Sc3
_symmetry_space_group_name_H-M 'C 1 2/c 1'
_symmetry_Int_Tables_number 15
_cell_length_a 13.035
_cell_length_b 12.990
_cell_length_c 6.171
_cell_angle_alpha 90.00
_cell_angle_beta 94.40
_cell_angle_gamma 90.00
loop_
_symmetry_equiv_pos_as_xyz
'x,y,z'
'-x,-y,-z'
'-x,y,-z+1/2'
'x,-y,z+1/2'
'x+1/2,y+1/2,z'
'-x+1/2,-y+1/2,-z'
'-x+1/2,y+1/2,-z+1/2'
'x+1/2,-y+1/2,z+1/2'
loop_
_atom_site_label
_atom_site_type_symbol
_atom_site_fract_x
_atom_site_fract_y
_atom_site_fract_z
Ho1 Ho 0.107 0.202 0.117
Ho2 Ho 0.127 0.316 0.613
Tm1 Tm 0.212 0.442 0.066
Sc1 Sc 0.000 0.465 0.250
Sc2 Sc 0.090 0.066 0.591

# Ho6TmSc (GGA-PBE, relaxed)
# magnetization = 0.0 μB/cell
# formation energy = 0.0320 eV per atom
# offset from the most stable computed form = 0.0 kJ/mol of atoms
data_Ho6TmSc
_symmetry_space_group_name_H-M 'C 1 2/m 1'
_symmetry_Int_Tables_number 12
_cell_length_a 11.017
_cell_length_b 4.933
_cell_length_c 9.859
_cell_angle_alpha 90.00
_cell_angle_beta 116.60
_cell_angle_gamma 90.00
loop_
_symmetry_equiv_pos_as_xyz
'x,y,z'
'-x,-y,-z'
'-x,y,-z'
'x,-y,z'
'x+1/2,y+1/2,z'
'-x+1/2,-y+1/2,-z'
'-x+1/2,y+1/2,-z'
'x+1/2,-y+1/2,z'
loop_
_atom_site_label
_atom_site_type_symbol
_atom_site_fract_x
_atom_site_fract_y
_atom_site_fract_z
Ho1 Ho 0.001 0.000 0.247
Ho2 Ho 0.249 0.000 0.123
Ho3 Ho 0.249 0.500 0.372
Tm1 Tm 0.000 0.500 0.500
Sc1 Sc 0.000 0.500 0.000

# Ho7Tm4Sc (GGA-PBE, relaxed)
# magnetization = 1.8 μB/cell
# formation energy = 0.2429 eV per atom
# offset from the most stable computed form = 0.0 kJ/mol of atoms
data_Ho7Tm4Sc
_symmetry_space_group_name_H-M 'C 1 2/m 1'
_symmetry_Int_Tables_number 12
_cell_length_a 16.012
_cell_length_b 5.728
_cell_length_c 9.145
_cell_angle_alpha 90.00
_cell_angle_beta 117.53
_cell_angle_gamma 90.00
loop_
_symmetry_equiv_pos_as_xyz
'x,y,z'
'-x,-y,-z'
'-x,y,-z'
'x,-y,z'
'x+1/2,y+1/2,z'
'-x+1/2,-y+1/2,-z'
'-x+1/2,y+1/2,-z'
'x+1/2,-y+1/2,z'
loop_
_atom_site_label
_atom_site_type_symbol
_atom_site_fract_x
_atom_site_fract_y
_atom_site_fract_z
Ho1 Ho 0.000 0.000 0.000
Ho2 Ho 0.071 0.500 0.710
Ho3 Ho 0.171 0.500 0.376
Ho4 Ho 0.214 0.000 0.879
Tm1 Tm 0.083 0.000 0.444
Tm2 Tm 0.215 0.000 0.237
Sc1 Sc 0.000 0.500 0.000

# Ho2Tm8Sc3 (GGA-PBE, relaxed)
# magnetization = 0.0 μB/cell
# formation energy = 0.0729 eV per atom
# offset from the most stable computed form = 0.0 kJ/mol of atoms
data_Ho2Tm8Sc3
_symmetry_space_group_name_H-M 'P -1'
_symmetry_Int_Tables_number 2
_cell_length_a 5.541
_cell_length_b 6.146
_cell_length_c 11.535
_cell_angle_alpha 78.69
_cell_angle_beta 79.66
_cell_angle_gamma 88.61
loop_
_symmetry_equiv_pos_as_xyz
'x,y,z'
'-x,-y,-z'
loop_
_atom_site_label
_atom_site_type_symbol
_atom_site_fract_x
_atom_site_fract_y
_atom_site_fract_z
Ho1 Ho 0.247 0.162 0.007
Tm1 Tm 0.117 0.055 0.338
Tm2 Tm 0.188 0.604 0.170
Tm3 Tm 0.304 0.716 0.848
Tm4 Tm 0.360 0.260 0.698
Sc1 Sc 0.000 0.500 0.500
Sc2 Sc 0.434 0.762 0.561

# HoTmSc2 (GGA-PBE, relaxed)
# magnetization = 0.0 μB/cell
# formation energy = 0.0562 eV per atom
# offset from the most stable computed form = 0.9 kJ/mol of atoms
data_HoTmSc2
_symmetry_space_group_name_H-M 'R -3 m'
_symmetry_Int_Tables_number 166
_symmetry_space_group_name_Hall '-R 3 2"'
_cell_length_a 3.3976
_cell_length_b 3.3976
_cell_length_c 32.7890
_cell_angle_alpha 90.00
_cell_angle_beta 90.00
_cell_angle_gamma 120.00
loop_
_atom_site_label
_atom_site_type_symbol
_atom_site_fract_x
_atom_site_fract_y
_atom_site_fract_z
Ho1 Ho 0.0000 0.0000 0.0000
Tm1 Tm 0.0000 0.0000 0.5000
Sc1 Sc 0.0000 0.0000 0.2498

# Ho6Tm8Sc (GGA-PBE, relaxed)
# magnetization = 0.0 μB/cell
# formation energy = 0.1451 eV per atom
# offset from the most stable computed form = 2.3 kJ/mol of atoms
data_Ho6Tm8Sc
_symmetry_space_group_name_H-M 'P -3'
_symmetry_Int_Tables_number 147
_cell_length_a 9.6614
_cell_length_b 9.6614
_cell_length_c 5.6682
_cell_angle_alpha 90.00
_cell_angle_beta 90.00
_cell_angle_gamma 120.00
loop_
_symmetry_equiv_pos_as_xyz
'x,y,z'
'-x,-y,-z'
'-y,x-y,z'
'y,-x+y,-z'
'-x+y,-x,z'
'x-y,x,-z'
loop_
_atom_site_label
_atom_site_type_symbol
_atom_site_fract_x
_atom_site_fract_y
_atom_site_fract_z
Ho1 Ho 0.0919 0.4690 0.2614
Tm1 Tm 0.0512 0.2703 0.7696
Tm2 Tm 0.3333 0.6667 0.7675
Sc1 Sc 0.0000 0.0000 0.5000

# Ho6Tm5Sc (GGA-PBE, relaxed)
# magnetization = 0.0 μB/cell
# formation energy = 0.0306 eV per atom
data_Ho6Tm5Sc
_symmetry_space_group_name_H-M 'C 1 2/m 1'
_symmetry_Int_Tables_number 12
_cell_length_a 10.995
_cell_length_b 14.846
_cell_length_c 4.927
_cell_angle_alpha 90.00
_cell_angle_beta 116.54
_cell_angle_gamma 90.00
loop_
_symmetry_equiv_pos_as_xyz
'x,y,z'
'-x,-y,-z'
'-x,y,-z'
'x,-y,z'
'x+1/2,y+1/2,z'
'-x+1/2,-y+1/2,-z'
'-x+1/2,y+1/2,-z'
'x+1/2,-y+1/2,z'
loop_
_atom_site_label
_atom_site_type_symbol
_atom_site_fract_x
_atom_site_fract_y
_atom_site_fract_z
Ho1 Ho 0.247 0.000 0.247
Ho2 Ho 0.248 0.166 0.748
Tm1 Tm 0.000 0.165 0.000
Tm2 Tm 0.000 0.334 0.500
Tm3 Tm 0.000 0.500 0.000
Sc1 Sc 0.000 0.000 0.500

# Ho4TmSc3 (GGA-PBE, relaxed)
# magnetization = 0.0 μB/cell
# formation energy = 0.0188 eV per atom
# offset from the most stable computed form = 0.0 kJ/mol of atoms
data_Ho4TmSc3
_symmetry_space_group_name_H-M 'P m n 21'
_symmetry_Int_Tables_number 31
_cell_length_a 10.831
_cell_length_b 6.997
_cell_length_c 6.030
_cell_angle_alpha 90.00
_cell_angle_beta 90.00
_cell_angle_gamma 90.00
loop_
_symmetry_equiv_pos_as_xyz
'x,y,z'
'-x+1/2,-y,z+1/2'
'-x,y,z'
'x+1/2,-y,z+1/2'
loop_
_atom_site_label
_atom_site_type_symbol
_atom_site_fract_x
_atom_site_fract_y
_atom_site_fract_z
Ho1 Ho 0.000 0.122 0.000
Ho2 Ho 0.000 0.628 0.008
Ho3 Ho 0.249 0.627 0.671
Tm1 Tm 0.000 0.879 0.497
Sc1 Sc 0.000 0.372 0.508
Sc2 Sc 0.247 0.124 0.666

# Ho3Tm4Sc (GGA-PBE, relaxed)
# magnetization = 0.0 μB/cell
# formation energy = 0.0064 eV per atom
# offset from the most stable computed form = 0.0 kJ/mol of atoms
data_Ho3Tm4Sc
_symmetry_space_group_name_H-M 'P m n 21'
_symmetry_Int_Tables_number 31
_cell_length_a 10.994
_cell_length_b 7.105
_cell_length_c 6.136
_cell_angle_alpha 90.00
_cell_angle_beta 90.00
_cell_angle_gamma 90.00
loop_
_symmetry_equiv_pos_as_xyz
'x,y,z'
'-x+1/2,-y,z+1/2'
'-x,y,z'
'x+1/2,-y,z+1/2'
loop_
_atom_site_label
_atom_site_type_symbol
_atom_site_fract_x
_atom_site_fract_y
_atom_site_fract_z
Ho1 Ho 0.000 0.125 0.000
Ho2 Ho 0.250 0.124 0.333
Tm1 Tm 0.000 0.375 0.503
Tm2 Tm 0.000 0.626 0.999
Tm3 Tm 0.247 0.626 0.336
Sc1 Sc 0.000 0.875 0.500

# HoTmSc (GGA-PBE, relaxed)
# magnetization = 0.0 μB/cell
# formation energy = 0.0772 eV per atom
# offset from the most stable computed form = 3.1 kJ/mol of atoms
data_HoTmSc
_symmetry_space_group_name_H-M 'P -6 m 2'
_symmetry_Int_Tables_number 187
_symmetry_space_group_name_Hall 'P -6 2'
_cell_length_a 5.4071
_cell_length_b 5.4071
_cell_length_c 3.3601
_cell_angle_alpha 90.00
_cell_angle_beta 90.00
_cell_angle_gamma 120.00
loop_
_atom_site_label
_atom_site_type_symbol
_atom_site_fract_x
_atom_site_fract_y
_atom_site_fract_z
Ho1 Ho 0.0000 0.0000 0.0000
Tm1 Tm 0.6667 0.3333 0.5000
Sc1 Sc 0.3333 0.6667 0.5000

# Ho5Tm3Sc (GGA-PBE, relaxed)
# magnetization = 0.0 μB/cell
# formation energy = 0.1786 eV per atom
# offset from the most stable computed form = 0.0 kJ/mol of atoms
data_Ho5Tm3Sc
_symmetry_space_group_name_H-M 'C 1 2/c 1'
_symmetry_Int_Tables_number 15
_cell_length_a 15.198
_cell_length_b 8.516
_cell_length_c 10.860
_cell_angle_alpha 90.00
_cell_angle_beta 127.71
_cell_angle_gamma 90.00
loop_
_symmetry_equiv_pos_as_xyz
'x,y,z'
'-x,-y,-z'
'-x,y,-z+1/2'
'x,-y,z+1/2'
'x+1/2,y+1/2,z'
'-x+1/2,-y+1/2,-z'
'-x+1/2,y+1/2,-z+1/2'
'x+1/2,-y+1/2,z+1/2'
loop_
_atom_site_label
_atom_site_type_symbol
_atom_site_fract_x
_atom_site_fract_y
_atom_site_fract_z
Ho1 Ho 0.000 0.050 0.250
Ho2 Ho 0.080 0.336 0.119
Ho3 Ho 0.146 0.058 0.637
Tm1 Tm 0.183 0.382 0.505
Tm2 Tm 0.250 0.250 0.000
Sc1 Sc 0.000 0.355 0.750

# HoTm2Sc4 (GGA-PBE, relaxed)
# magnetization = 0.0 μB/cell
# formation energy = 0.1721 eV per atom
# offset from the most stable computed form = 0.0 kJ/mol of atoms
data_HoTm2Sc4
_symmetry_space_group_name_H-M 'C m m m'
_symmetry_Int_Tables_number 65
_symmetry_space_group_name_Hall '-C 2 2'
_cell_length_a 3.570
_cell_length_b 20.886
_cell_length_c 5.217
_cell_angle_alpha 90.00
_cell_angle_beta 90.00
_cell_angle_gamma 90.00
loop_
_atom_site_label
_atom_site_type_symbol
_atom_site_fract_x
_atom_site_fract_y
_atom_site_fract_z
Ho1 Ho 0.000 0.000 0.000
Tm1 Tm 0.000 0.427 0.500
Sc1 Sc 0.000 0.197 0.500
Sc2 Sc 0.000 0.321 0.000

# Ho3Tm2Sc8 (GGA-PBE, relaxed)
# magnetization = 0.0 μB/cell
# formation energy = 0.2500 eV per atom
data_Ho3Tm2Sc8
_symmetry_space_group_name_H-M 'C 1 2/m 1'
_symmetry_Int_Tables_number 12
_cell_length_a 13.644
_cell_length_b 8.608
_cell_length_c 6.596
_cell_angle_alpha 90.00
_cell_angle_beta 108.79
_cell_angle_gamma 90.00
loop_
_symmetry_equiv_pos_as_xyz
'x,y,z'
'-x,-y,-z'
'-x,y,-z'
'x,-y,z'
'x+1/2,y+1/2,z'
'-x+1/2,-y+1/2,-z'
'-x+1/2,y+1/2,-z'
'x+1/2,-y+1/2,z'
loop_
_atom_site_label
_atom_site_type_symbol
_atom_site_fract_x
_atom_site_fract_y
_atom_site_fract_z
Ho1 Ho 0.000 0.000 0.000
Ho2 Ho 0.000 0.181 0.500
Tm1 Tm 0.231 0.000 0.425
Sc1 Sc 0.071 0.500 0.744
Sc2 Sc 0.120 0.317 0.161
Sc3 Sc 0.194 0.000 0.895

# HoTm12Sc6 (GGA-PBE, relaxed)
# magnetization = 0.0 μB/cell
# formation energy = 0.2418 eV per atom
# offset from the most stable computed form = 0.0 kJ/mol of atoms
data_HoTm12Sc6
_symmetry_space_group_name_H-M 'I m -3'
_symmetry_Int_Tables_number 204
_symmetry_space_group_name_Hall '-I 2 2 3'
_cell_length_a 10.333
_cell_length_b 10.333
_cell_length_c 10.333
_cell_angle_alpha 90.00
_cell_angle_beta 90.00
_cell_angle_gamma 90.00
loop_
_atom_site_label
_atom_site_type_symbol
_atom_site_fract_x
_atom_site_fract_y
_atom_site_fract_z
Ho1 Ho 0.000 0.000 0.000
Tm1 Tm 0.000 0.194 0.266
Sc1 Sc 0.000 0.362 0.500

# Ho8Tm2Sc3 (GGA-PBE, relaxed)
# magnetization = 0.0 μB/cell
# formation energy = 0.2267 eV per atom
# offset from the most stable computed form = 3.2 kJ/mol of atoms
data_Ho8Tm2Sc3
_symmetry_space_group_name_H-M 'C m m m'
_symmetry_Int_Tables_number 65
_symmetry_space_group_name_Hall '-C 2 2'
_cell_length_a 7.493
_cell_length_b 19.357
_cell_length_c 5.471
_cell_angle_alpha 90.00
_cell_angle_beta 90.00
_cell_angle_gamma 90.00
loop_
_atom_site_label
_atom_site_type_symbol
_atom_site_fract_x
_atom_site_fract_y
_atom_site_fract_z
Ho1 Ho 0.000 0.127 0.000
Ho2 Ho 0.000 0.334 0.000
Ho3 Ho 0.210 0.398 0.500
Tm1 Tm 0.000 0.240 0.500
Sc1 Sc 0.000 0.000 0.500
Sc2 Sc 0.208 0.500 0.000

# Ho2Tm7Sc3 (GGA-PBE, relaxed)
# magnetization = 0.2 μB/cell
# formation energy = 0.1528 eV per atom
data_Ho2Tm7Sc3
_symmetry_space_group_name_H-M 'C m m m'
_symmetry_Int_Tables_number 65
_symmetry_space_group_name_Hall '-C 2 2'
_cell_length_a 5.597
_cell_length_b 36.231
_cell_length_c 3.491
_cell_angle_alpha 90.00
_cell_angle_beta 90.00
_cell_angle_gamma 90.00
loop_
_atom_site_label
_atom_site_type_symbol
_atom_site_fract_x
_atom_site_fract_y
_atom_site_fract_z
Ho1 Ho 0.000 0.175 0.000
Tm1 Tm 0.000 0.000 0.000
Tm2 Tm 0.000 0.090 0.500
Tm3 Tm 0.000 0.272 0.000
Tm4 Tm 0.000 0.429 0.000
Sc1 Sc 0.000 0.351 0.500
Sc2 Sc 0.000 0.500 0.500

# HoTmSc (GGA-PBE, relaxed)
# magnetization = 0.0 μB/cell
# formation energy = 0.7930 eV per atom
# offset from the most stable computed form = 72.2 kJ/mol of atoms
data_HoTmSc
_symmetry_space_group_name_H-M 'C m m m'
_symmetry_Int_Tables_number 65
_symmetry_space_group_name_Hall '-C 2 2'
_cell_length_a 10.942
_cell_length_b 11.493
_cell_length_c 3.295
_cell_angle_alpha 90.00
_cell_angle_beta 90.00
_cell_angle_gamma 90.00
loop_
_atom_site_label
_atom_site_type_symbol
_atom_site_fract_x
_atom_site_fract_y
_atom_site_fract_z
Ho1 Ho 0.000 0.239 0.000
Tm1 Tm 0.000 0.000 0.500
Tm2 Tm 0.000 0.500 0.000
Sc1 Sc 0.239 0.500 0.500

no.,raw total energy (eV for the cell shown)
1,-170.225
2,-111.350
3,-84.454
4,-181.685
5,-76.027
6,-106.694
7,-62.974
8,-64.462
9,-67.394
10,-111.577
11,-83.253
12,-75.799
13,-15.149
14,-164.111
15,-75.284
16,-140.157
17,-183.262
18,-123.225
19,-115.234
20,-52.007